# K2RbNpS4, relaxed, DFT GGA-PBE
data_K2RbNpS4
_cell_length_a 7.738
_cell_length_b 4.195
_cell_length_c 7.981
_cell_angle_alpha 90.00
_cell_angle_beta 111.19
_cell_angle_gamma 90.00
_symmetry_space_group_name_H-M 'P 1'
_symmetry_Int_Tables_number 1
_symmetry_space_group_name_Hall 'P 1'
loop_
_atom_site_label
_atom_site_type_symbol
_atom_site_fract_x
_atom_site_fract_y
_atom_site_fract_z
K1 K 0.000 0.000 0.000
K2 K 0.000 0.500 0.500
Rb1 Rb 0.500 0.000 0.500
Np1 Np 0.500 0.500 0.000
S1 S 0.296 0.000 0.801
S2 S 0.300 0.500 0.187
S3 S 0.700 0.500 0.813
S4 S 0.704 0.000 0.199
# formation energy (no corrections): -940 kJ/mol of formula units
# raw total energy: -5.295 eV/atom

***

# HfBRh3, relaxed, DFT GGA-PBE
data_HfBRh3
_cell_length_a 7.675
_cell_length_b 7.675
_cell_length_c 7.675
_cell_angle_alpha 60.00
_cell_angle_beta 60.00
_cell_angle_gamma 60.00
_symmetry_space_group_name_H-M 'P 1'
_symmetry_Int_Tables_number 1
_symmetry_space_group_name_Hall 'P 1'
loop_
_atom_site_label
_atom_site_type_symbol
_atom_site_fract_x
_atom_site_fract_y
_atom_site_fract_z
Hf1 Hf 0.000 0.000 0.000
Hf2 Hf 0.000 0.000 0.500
Hf3 Hf 0.000 0.500 0.000
Hf4 Hf 0.500 0.000 0.000
B1 B 0.000 0.500 0.500
B2 B 0.500 0.000 0.500
B3 B 0.500 0.500 0.000
B4 B 0.500 0.500 0.500
Rh1 Rh 0.171 0.171 0.579
Rh2 Rh 0.171 0.579 0.171
Rh3 Rh 0.171 0.579 0.579
Rh4 Rh 0.421 0.421 0.829
Rh5 Rh 0.421 0.829 0.421
Rh6 Rh 0.421 0.829 0.829
Rh7 Rh 0.579 0.171 0.171
Rh8 Rh 0.579 0.171 0.579
Rh9 Rh 0.579 0.579 0.171
Rh10 Rh 0.829 0.421 0.421
Rh11 Rh 0.829 0.421 0.829
Rh12 Rh 0.829 0.829 0.421
# energy of formation: -0.43 eV per atom
# ΔE to the lowest computed polymorph: 0.358 eV/atom
# raw total energy: -8.163 eV/atom

***

# Zr2Ir2C, relaxed, DFT GGA-PBE
data_Zr2Ir2C
_cell_length_a 4.994
_cell_length_b 4.994
_cell_length_c 4.994
_cell_angle_alpha 114.49
_cell_angle_beta 114.49
_cell_angle_gamma 99.84
_symmetry_space_group_name_H-M 'P 1'
_symmetry_Int_Tables_number 1
_symmetry_space_group_name_Hall 'P 1'
loop_
_atom_site_label
_atom_site_type_symbol
_atom_site_fract_x
_atom_site_fract_y
_atom_site_fract_z
Zr1 Zr 0.250 0.750 0.500
Zr2 Zr 0.750 0.250 0.500
Ir1 Ir 0.206 0.206 0.000
Ir2 Ir 0.794 0.794 0.000
C1 C 0.500 0.500 0.000
# energy of formation: 0.19 eV per atom
# ΔE to the lowest computed polymorph: 0.000 eV/atom
# raw total energy: -8.619 eV/atom

***

# La2Hg2Ir, relaxed, DFT GGA-PBE
data_La2Hg2Ir
_cell_length_a 9.930
_cell_length_b 9.930
_cell_length_c 5.988
_cell_angle_alpha 90.00
_cell_angle_beta 90.00
_cell_angle_gamma 152.39
_symmetry_space_group_name_H-M 'P 1'
_symmetry_Int_Tables_number 1
_symmetry_space_group_name_Hall 'P 1'
loop_
_atom_site_label
_atom_site_type_symbol
_atom_site_fract_x
_atom_site_fract_y
_atom_site_fract_z
La1 La 0.095 0.905 0.750
La2 La 0.345 0.655 0.750
La3 La 0.655 0.345 0.250
La4 La 0.905 0.095 0.250
Hg1 Hg 0.276 0.724 0.250
Hg2 Hg 0.500 0.500 0.000
Hg3 Hg 0.500 0.500 0.500
Hg4 Hg 0.724 0.276 0.750
Ir1 Ir 0.063 0.937 0.250
Ir2 Ir 0.937 0.063 0.750
# energy of formation: -0.50 eV per atom
# ΔE to the lowest computed polymorph: 0.000 eV/atom
# raw total energy: -4.362 eV/atom

***

# RbTl4Hg, relaxed, DFT GGA-PBE
data_RbTl4Hg
_cell_length_a 8.962
_cell_length_b 5.051
_cell_length_c 9.104
_cell_angle_alpha 90.00
_cell_angle_beta 90.00
_cell_angle_gamma 90.00
_symmetry_space_group_name_H-M 'P 1'
_symmetry_Int_Tables_number 1
_symmetry_space_group_name_Hall 'P 1'
loop_
_atom_site_label
_atom_site_type_symbol
_atom_site_fract_x
_atom_site_fract_y
_atom_site_fract_z
Rb1 Rb 0.250 0.000 0.126
Rb2 Rb 0.750 0.000 0.874
Tl1 Tl 0.000 0.000 0.500
Tl2 Tl 0.053 0.500 0.802
Tl3 Tl 0.250 0.500 0.450
Tl4 Tl 0.447 0.500 0.802
Tl5 Tl 0.500 0.000 0.500
Tl6 Tl 0.553 0.500 0.198
Tl7 Tl 0.750 0.500 0.550
Tl8 Tl 0.947 0.500 0.198
Hg1 Hg 0.250 0.000 0.740
Hg2 Hg 0.750 0.000 0.260
# energy of formation: -0.07 eV per atom
# ΔE to the lowest computed polymorph: 0.000 eV/atom
# raw total energy: -1.859 eV/atom

***

# LaAlCd, relaxed, DFT GGA-PBE
data_LaAlCd
_cell_length_a 3.829
_cell_length_b 4.848
_cell_length_c 8.412
_cell_angle_alpha 90.00
_cell_angle_beta 90.00
_cell_angle_gamma 90.00
_symmetry_space_group_name_H-M 'P 1'
_symmetry_Int_Tables_number 1
_symmetry_space_group_name_Hall 'P 1'
loop_
_atom_site_label
_atom_site_type_symbol
_atom_site_fract_x
_atom_site_fract_y
_atom_site_fract_z
La1 La 0.000 0.000 0.000
La2 La 0.000 0.500 0.500
Al1 Al 0.500 0.000 0.339
Al2 Al 0.500 0.000 0.661
Cd1 Cd 0.500 0.500 0.172
Cd2 Cd 0.500 0.500 0.828
# energy of formation: -0.39 eV per atom
# raw total energy: -3.582 eV/atom

***

# YCuAg, relaxed, DFT GGA-PBE
data_YCuAg
_cell_length_a 5.404
_cell_length_b 5.404
_cell_length_c 7.177
_cell_angle_alpha 120.76
_cell_angle_beta 120.76
_cell_angle_gamma 43.80
_symmetry_space_group_name_H-M 'P 1'
_symmetry_Int_Tables_number 1
_symmetry_space_group_name_Hall 'P 1'
loop_
_atom_site_label
_atom_site_type_symbol
_atom_site_fract_x
_atom_site_fract_y
_atom_site_fract_z
Y1 Y 0.057 0.057 0.301
Y2 Y 0.943 0.943 0.699
Cu1 Cu 0.361 0.361 0.336
Cu2 Cu 0.639 0.639 0.664
Ag1 Ag 0.324 0.324 0.915
Ag2 Ag 0.676 0.676 0.085
# energy of formation: -0.28 eV per atom
# ΔE to the lowest computed polymorph: 0.000 eV/atom
# raw total energy: -4.751 eV/atom

***

# Ce2TePb, relaxed, DFT GGA-PBE
data_Ce2TePb
_cell_length_a 5.493
_cell_length_b 5.493
_cell_length_c 5.493
_cell_angle_alpha 60.00
_cell_angle_beta 60.00
_cell_angle_gamma 60.00
_symmetry_space_group_name_H-M 'P 1'
_symmetry_Int_Tables_number 1
_symmetry_space_group_name_Hall 'P 1'
loop_
_atom_site_label
_atom_site_type_symbol
_atom_site_fract_x
_atom_site_fract_y
_atom_site_fract_z
Ce1 Ce 0.250 0.250 0.250
Ce2 Ce 0.750 0.750 0.750
Te1 Te 0.000 0.000 0.000
Pb1 Pb 0.500 0.500 0.500
# formation energy (no corrections): -278 kJ/mol of formula units
# ΔE to the lowest computed polymorph: 0.145 eV/atom
# raw total energy: -5.399 eV/atom

***

# CaCd3Pd3, relaxed, DFT GGA-PBE
data_CaCd3Pd3
_cell_length_a 7.341
_cell_length_b 7.341
_cell_length_c 7.341
_cell_angle_alpha 90.00
_cell_angle_beta 90.00
_cell_angle_gamma 90.00
_symmetry_space_group_name_H-M 'P 1'
_symmetry_Int_Tables_number 1
_symmetry_space_group_name_Hall 'P 1'
loop_
_atom_site_label
_atom_site_type_symbol
_atom_site_fract_x
_atom_site_fract_y
_atom_site_fract_z
Ca1 Ca 0.000 0.000 0.000
Ca2 Ca 0.500 0.500 0.500
Cd1 Cd 0.000 0.250 0.500
Cd2 Cd 0.000 0.750 0.500
Cd3 Cd 0.250 0.500 0.000
Cd4 Cd 0.500 0.000 0.250
Cd5 Cd 0.500 0.000 0.750
Cd6 Cd 0.750 0.500 0.000
Pd1 Pd 0.000 0.500 0.250
Pd2 Pd 0.000 0.500 0.750
Pd3 Pd 0.250 0.000 0.500
Pd4 Pd 0.500 0.250 0.000
Pd5 Pd 0.500 0.750 0.000
Pd6 Pd 0.750 0.000 0.500
# energy of formation: 0.08 eV per atom
# raw total energy: -2.822 eV/atom

***

# IrAu4Br, relaxed, DFT GGA-PBE
data_IrAu4Br
_cell_length_a 5.508
_cell_length_b 5.508
_cell_length_c 5.508
_cell_angle_alpha 60.00
_cell_angle_beta 60.00
_cell_angle_gamma 60.00
_symmetry_space_group_name_H-M 'P 1'
_symmetry_Int_Tables_number 1
_symmetry_space_group_name_Hall 'P 1'
loop_
_atom_site_label
_atom_site_type_symbol
_atom_site_fract_x
_atom_site_fract_y
_atom_site_fract_z
Ir1 Ir 0.000 0.000 0.000
Au1 Au 0.124 0.625 0.625
Au2 Au 0.625 0.124 0.625
Au3 Au 0.625 0.625 0.124
Au4 Au 0.625 0.625 0.625
Br1 Br 0.250 0.250 0.250
# formation energy (no corrections): 433 kJ/mol of formula units
# raw total energy: -3.192 eV/atom

***

# Cs2LiP2Se6, relaxed, DFT GGA-PBE
data_Cs2LiP2Se6
_cell_length_a 8.240
_cell_length_b 8.240
_cell_length_c 7.732
_cell_angle_alpha 105.01
_cell_angle_beta 105.01
_cell_angle_gamma 48.51
_symmetry_space_group_name_H-M 'P 1'
_symmetry_Int_Tables_number 1
_symmetry_space_group_name_Hall 'P 1'
loop_
_atom_site_label
_atom_site_type_symbol
_atom_site_fract_x
_atom_site_fract_y
_atom_site_fract_z
Cs1 Cs 0.219 0.219 0.200
Cs2 Cs 0.781 0.781 0.800
Li1 Li 0.000 0.000 0.500
P1 P 0.484 0.484 0.843
P2 P 0.516 0.516 0.157
Se1 Se 0.174 0.708 0.209
Se2 Se 0.292 0.826 0.791
Se3 Se 0.335 0.335 0.719
Se4 Se 0.665 0.665 0.281
Se5 Se 0.708 0.174 0.209
Se6 Se 0.826 0.292 0.791
# formation energy (no corrections): -633 kJ/mol of formula units
# raw total energy: -3.810 eV/atom

***

# KTbSi2O6, relaxed, DFT GGA-PBE
data_KTbSi2O6
_cell_length_a 7.177
_cell_length_b 7.177
_cell_length_c 5.465
_cell_angle_alpha 99.06
_cell_angle_beta 99.06
_cell_angle_gamma 87.66
_symmetry_space_group_name_H-M 'P 1'
_symmetry_Int_Tables_number 1
_symmetry_space_group_name_Hall 'P 1'
loop_
_atom_site_label
_atom_site_type_symbol
_atom_site_fract_x
_atom_site_fract_y
_atom_site_fract_z
K1 K 0.176 0.824 0.750
K2 K 0.824 0.176 0.250
Tb1 Tb 0.384 0.616 0.250
Tb2 Tb 0.616 0.384 0.750
Si1 Si 0.136 0.301 0.783
Si2 Si 0.301 0.136 0.283
Si3 Si 0.699 0.864 0.717
Si4 Si 0.864 0.699 0.217
O1 O 0.078 0.624 0.274
O2 O 0.154 0.176 0.022
O3 O 0.176 0.154 0.522
O4 O 0.308 0.454 0.853
O5 O 0.376 0.922 0.226
O6 O 0.454 0.308 0.353
O7 O 0.546 0.692 0.647
O8 O 0.624 0.078 0.774
O9 O 0.692 0.546 0.147
O10 O 0.824 0.846 0.478
O11 O 0.846 0.824 0.978
O12 O 0.922 0.376 0.726
# formation energy (no corrections): -2802 kJ/mol of formula units
# raw total energy: -7.537 eV/atom

***

Record-wise total magnetization values, in μB/f.u.: 2.0; 0.0; 0.0; 0.0; 0.0; 0.0; 0.0; 1.9; 0.0; 0.0; 0.0; 0.0